A geometry-optimized AcTb3Y2 structure, computed with PBE.

Results
Volume in Å³/cell: 419
Formation energy from the elements in eV per atom: 0.219
ΔE to the lowest computed polymorph in eV per atom: 0.0000
Total magnetic moment in μB/atom: 0.00

The structure in CIF format:
```
data_AcTb3Y2
_cell_length_a 7.876
_cell_length_b 7.876
_cell_length_c 7.036
_cell_angle_alpha 99.61
_cell_angle_beta 99.61
_cell_angle_gamma 79.28
_symmetry_space_group_name_H-M 'P 1'
_symmetry_Int_Tables_number 1
loop_
_symmetry_equiv_pos_as_xyz
'x,y,z'
loop_
_atom_site_label
_atom_site_type_symbol
_atom_site_fract_x
_atom_site_fract_y
_atom_site_fract_z
_atom_site_occupancy
Ac1 Ac 0.032 0.032 0.273 1
Ac2 Ac 0.968 0.968 0.727 1
Tb1 Tb 0.065 0.405 0.714 1
Tb2 Tb 0.286 0.286 0.153 1
Tb3 Tb 0.405 0.065 0.714 1
Tb4 Tb 0.595 0.935 0.286 1
Tb5 Tb 0.714 0.714 0.847 1
Tb6 Tb 0.935 0.595 0.286 1
Y1 Y 0.321 0.679 0.000 1
Y2 Y 0.338 0.662 0.500 1
Y3 Y 0.662 0.338 0.500 1
Y4 Y 0.679 0.321 0.000 1
```


A geometry-optimized ReAs2Rh structure, computed with PBE.

Results
Volume in Å³/cell: 123
Formation energy from the elements in eV per atom: 0.098
ΔE to the lowest computed polymorph in eV per atom: 0.1574
Total magnetic moment in μB/atom: 0.00

The structure in CIF format:
```
data_ReAs2Rh
_cell_length_a 8.079
_cell_length_b 3.008
_cell_length_c 5.174
_cell_angle_alpha 90.00
_cell_angle_beta 101.50
_cell_angle_gamma 90.00
_symmetry_space_group_name_H-M 'P 1'
_symmetry_Int_Tables_number 1
loop_
_symmetry_equiv_pos_as_xyz
'x,y,z'
loop_
_atom_site_label
_atom_site_type_symbol
_atom_site_fract_x
_atom_site_fract_y
_atom_site_fract_z
_atom_site_occupancy
Re1 Re 0.000 0.000 0.000 1
Re2 Re 0.500 0.500 0.000 1
As1 As 0.243 0.500 0.237 1
As2 As 0.257 0.000 0.763 1
As3 As 0.743 0.000 0.237 1
As4 As 0.757 0.500 0.763 1
Rh1 Rh 0.000 0.500 0.500 1
Rh2 Rh 0.500 0.000 0.500 1
```


A geometry-optimized LiPa2IrO8 structure, computed with PBE.

Results
Volume in Å³/cell: 169
Total magnetic moment in μB/atom: 0.15
Uncorrected formation energy in eV/atom: -2.088

The structure in CIF format:
```
data_LiPa2IrO8
_cell_length_a 5.403
_cell_length_b 5.403
_cell_length_c 6.687
_cell_angle_alpha 90.00
_cell_angle_beta 90.00
_cell_angle_gamma 120.00
_symmetry_space_group_name_H-M 'P 1'
_symmetry_Int_Tables_number 1
loop_
_symmetry_equiv_pos_as_xyz
'x,y,z'
loop_
_atom_site_label
_atom_site_type_symbol
_atom_site_fract_x
_atom_site_fract_y
_atom_site_fract_z
_atom_site_occupancy
Li1 Li 0.000 0.000 0.000 1
Pa1 Pa 0.333 0.667 0.362 1
Pa2 Pa 0.667 0.333 0.638 1
Ir1 Ir 0.000 0.000 0.500 1
O1 O 0.176 0.353 0.655 1
O2 O 0.176 0.824 0.655 1
O3 O 0.333 0.667 0.085 1
O4 O 0.353 0.176 0.345 1
O5 O 0.647 0.824 0.655 1
O6 O 0.667 0.333 0.915 1
O7 O 0.824 0.176 0.345 1
O8 O 0.824 0.647 0.345 1
```


A geometry-optimized Mn3CBr structure, computed with PBE.

Results
Volume in Å³/cell: 68
ΔE to the lowest computed polymorph in eV per atom: 0.0000
Total magnetic moment in μB/atom: 1.83
Uncorrected formation energy in eV/atom: 0.498

The structure in CIF format:
```
data_Mn3CBr
_cell_length_a 4.084
_cell_length_b 4.084
_cell_length_c 4.084
_cell_angle_alpha 90.00
_cell_angle_beta 90.00
_cell_angle_gamma 90.00
_symmetry_space_group_name_H-M 'P 1'
_symmetry_Int_Tables_number 1
loop_
_symmetry_equiv_pos_as_xyz
'x,y,z'
loop_
_atom_site_label
_atom_site_type_symbol
_atom_site_fract_x
_atom_site_fract_y
_atom_site_fract_z
_atom_site_occupancy
Mn1 Mn 0.000 0.000 0.500 1
Mn2 Mn 0.000 0.500 0.000 1
Mn3 Mn 0.500 0.000 0.000 1
C1 C 0.000 0.000 0.000 1
Br1 Br 0.500 0.500 0.500 1
```


A geometry-optimized Tb3NdSb structure, computed with PBE.

Results
Volume in Å³/cell: 636
Total magnetic moment in μB/atom: 0.00
Uncorrected formation energy in eV/atom: -0.389

The structure in CIF format:
```
data_Tb3NdSb
_cell_length_a 10.883
_cell_length_b 4.027
_cell_length_c 14.501
_cell_angle_alpha 90.00
_cell_angle_beta 90.00
_cell_angle_gamma 90.00
_symmetry_space_group_name_H-M 'P 1'
_symmetry_Int_Tables_number 1
loop_
_symmetry_equiv_pos_as_xyz
'x,y,z'
loop_
_atom_site_label
_atom_site_type_symbol
_atom_site_fract_x
_atom_site_fract_y
_atom_site_fract_z
_atom_site_occupancy
Tb1 Tb 0.073 0.250 0.082 1
Tb2 Tb 0.093 0.750 0.284 1
Tb3 Tb 0.160 0.750 0.699 1
Tb4 Tb 0.340 0.250 0.199 1
Tb5 Tb 0.407 0.250 0.784 1
Tb6 Tb 0.427 0.750 0.582 1
Tb7 Tb 0.573 0.250 0.418 1
Tb8 Tb 0.593 0.750 0.216 1
Tb9 Tb 0.660 0.750 0.801 1
Tb10 Tb 0.840 0.250 0.301 1
Tb11 Tb 0.907 0.250 0.716 1
Tb12 Tb 0.927 0.750 0.918 1
Nd1 Nd 0.171 0.250 0.485 1
Nd2 Nd 0.329 0.750 0.985 1
Nd3 Nd 0.671 0.250 0.015 1
Nd4 Nd 0.829 0.750 0.515 1
Sb1 Sb 0.141 0.250 0.869 1
Sb2 Sb 0.359 0.750 0.369 1
Sb3 Sb 0.641 0.250 0.631 1
Sb4 Sb 0.859 0.750 0.131 1
```


A geometry-optimized HfOsRu2C structure, computed with PBE.

Results
Volume in Å³/cell: 69
Formation energy from the elements in eV per atom: -0.299
Total magnetic moment in μB/atom: 0.00

The structure in CIF format:
```
data_HfOsRu2C
_cell_length_a 4.099
_cell_length_b 4.099
_cell_length_c 4.093
_cell_angle_alpha 90.00
_cell_angle_beta 90.00
_cell_angle_gamma 90.00
_symmetry_space_group_name_H-M 'P 1'
_symmetry_Int_Tables_number 1
loop_
_symmetry_equiv_pos_as_xyz
'x,y,z'
loop_
_atom_site_label
_atom_site_type_symbol
_atom_site_fract_x
_atom_site_fract_y
_atom_site_fract_z
_atom_site_occupancy
Hf1 Hf 0.000 0.000 0.000 1
Os1 Os 0.500 0.500 0.000 1
Ru1 Ru 0.000 0.500 0.500 1
Ru2 Ru 0.500 0.000 0.500 1
C1 C 0.500 0.500 0.500 1
```


A geometry-optimized ThZrZn3 structure, computed with PBE.

Results
Volume in Å³/cell: 205
Formation energy from the elements in eV per atom: -0.234
Total magnetic moment in μB/atom: 0.00

The structure in CIF format:
```
data_ThZrZn3
_cell_length_a 13.581
_cell_length_b 13.581
_cell_length_c 4.450
_cell_angle_alpha 90.00
_cell_angle_beta 90.00
_cell_angle_gamma 165.51
_symmetry_space_group_name_H-M 'P 1'
_symmetry_Int_Tables_number 1
loop_
_symmetry_equiv_pos_as_xyz
'x,y,z'
loop_
_atom_site_label
_atom_site_type_symbol
_atom_site_fract_x
_atom_site_fract_y
_atom_site_fract_z
_atom_site_occupancy
Th1 Th 0.076 0.924 0.750 1
Th2 Th 0.924 0.076 0.250 1
Zr1 Zr 0.214 0.786 0.250 1
Zr2 Zr 0.786 0.214 0.750 1
Zn1 Zn 0.319 0.681 0.250 1
Zn2 Zn 0.373 0.627 0.750 1
Zn3 Zn 0.476 0.524 0.750 1
Zn4 Zn 0.524 0.476 0.250 1
Zn5 Zn 0.627 0.373 0.250 1
Zn6 Zn 0.681 0.319 0.750 1
```


A geometry-optimized LaZnPCl2 structure, computed with PBE.

Results
Volume in Å³/cell: 176
ΔE to the lowest computed polymorph in eV per atom: 0.2202
Total magnetic moment in μB/atom: 0.00
Uncorrected formation energy in eV/atom: -0.715

The structure in CIF format:
```
data_LaZnPCl2
_cell_length_a 5.472
_cell_length_b 5.472
_cell_length_c 5.886
_cell_angle_alpha 90.00
_cell_angle_beta 90.00
_cell_angle_gamma 90.00
_symmetry_space_group_name_H-M 'P 1'
_symmetry_Int_Tables_number 1
loop_
_symmetry_equiv_pos_as_xyz
'x,y,z'
loop_
_atom_site_label
_atom_site_type_symbol
_atom_site_fract_x
_atom_site_fract_y
_atom_site_fract_z
_atom_site_occupancy
La1 La 0.000 0.000 0.000 1
Zn1 Zn 0.500 0.500 0.500 1
P1 P 0.000 0.000 0.500 1
Cl1 Cl 0.000 0.500 0.000 1
Cl2 Cl 0.500 0.000 0.000 1
```